Entry 1:
A plane-wave DFT calculation with PBE was carried out for YTl2Cr after structural relaxation.

Cell and atoms, written as POSCAR:
```
YTl2Cr
1.0
9.557 -0.155 -0.091
8.953 3.347 -0.091
8.953 1.544 2.971
Y Cr Tl
1 1 2
Direct
0.250 0.250 0.250
0.750 0.750 0.750
0.492 0.492 0.492
0.008 0.008 0.008
```

Output
- Space group: No. 166
- Energy of formation: 96.4 kJ/mol of formula units
- Density: 8.94 g/cm3


Entry 2:
A plane-wave DFT calculation with PBE was carried out for Y2TlCr2 after structural relaxation.

Cell and atoms, written as POSCAR:
```
Y2TlCr2
1.0
-8.354 -0.912 1.118
1.315 -7.511 3.706
0.246 1.591 3.136
Y Cr Tl
4 4 2
Direct
0.157 0.343 0.000
0.657 0.157 0.000
0.843 0.657 0.000
0.343 0.843 0.000
0.366 0.134 0.500
0.866 0.366 0.500
0.134 0.634 0.500
0.634 0.866 0.500
0.000 0.000 0.000
0.500 0.500 0.000
```

Output
- Space group: No. 127
- Energy of formation: 233.9 kJ/mol of formula units
- Energy above the most stable polymorph in this dataset: 22.12 kJ per mole of atoms
- Density: 6.37 g/cm3


no.,D(E_F) (states/eV/atom),volume (Å³ per cell)
1,0.922,102.1
2,1.137,253.4